[1]
Entry from Alexandria: a crystal of Cs3GeTe3 relaxed with PBEsol (SCAN).

Density, g cm⁻³: 4.7
SG: No. 15
Uncorrected formation energy, eV/atom: -0.9561

extended XYZ file:
```
28
Lattice="8.487 -7.142 0.000 8.487 7.142 0.000 -1.311 0.000 9.973" Properties=species:S:1:pos:R:3 pbc="T T T"
Cs 7.504 5.931 7.479
Cs 2.775 0.370 6.869
Cs 6.461 2.732 3.712
Cs 3.430 -0.370 1.882
Cs 7.504 1.468 7.479
Cs 9.858 2.732 1.275
Cs 5.805 -2.732 8.698
Cs 8.160 -1.468 2.493
Cs 12.233 0.370 8.090
Cs 9.203 -2.732 6.261
Cs 12.889 -0.370 3.104
Cs 8.160 -5.931 2.493
Ge 4.146 3.463 9.567
Ge 10.862 3.463 5.392
Ge 4.801 -3.463 4.580
Ge 11.518 -3.463 0.406
Te 4.345 3.800 6.981
Te 6.955 5.218 0.772
Te 9.364 5.218 4.214
Te 6.360 1.092 0.229
Te 10.663 3.800 7.978
Te 5.704 -1.092 5.215
Te 9.959 1.092 4.757
Te 5.000 -3.800 1.995
Te 9.304 -1.092 9.743
Te 6.300 -5.218 5.758
Te 8.708 -5.218 9.201
Te 11.319 -3.800 2.992
```



[2]
Entry from Alexandria: a crystal of YCoPb relaxed with PBEsol (SCAN).

Density, g cm⁻³: 9.5
SG: No. 187
ΔH_f (0 K), eV per atom: -0.275

extended XYZ file:
```
3
Lattice="4.510 0.000 0.000 -2.255 3.906 0.000 0.000 0.000 3.517" Properties=species:S:1:pos:R:3 pbc="T T T"
Y 0.000 0.000 0.000
Co 0.000 2.604 1.759
Pb 2.255 1.302 1.759
```



[3]
Entry from Alexandria: a crystal of Ag2Hg relaxed with PBEsol (SCAN).

Density, g cm⁻³: 12.1
SG: No. 227
ΔH_f (0 K), eV per atom: 0.109

extended XYZ file:
```
6
Lattice="0.000 3.856 3.856 3.856 0.000 3.856 3.856 3.856 0.000" Properties=species:S:1:pos:R:3 pbc="T T T"
Ag 0.000 0.000 0.000
Ag 1.928 1.928 0.000
Ag 1.928 0.000 1.928
Ag 0.000 1.928 1.928
Hg 2.892 2.892 2.892
Hg 4.820 4.820 4.820
```



[4]
Entry from Alexandria: a crystal of AlFe2Sb relaxed with PBEsol (SCAN).

Density, g cm⁻³: 8.4
SG: No. 123
Uncorrected formation energy, eV/atom: 0.0913

extended XYZ file:
```
4
Lattice="4.135 0.000 0.000 0.000 4.135 0.000 0.000 0.000 3.022" Properties=species:S:1:pos:R:3 pbc="T T T"
Al 0.000 0.000 0.000
Fe 0.000 2.067 1.511
Fe 2.067 0.000 1.511
Sb 2.067 2.067 0.000
```



[5]
Entry from Alexandria: a crystal of LiTa2Ag relaxed with PBEsol (SCAN).

Density, g cm⁻³: 11.9
SG: No. 99
ΔH_f (0 K), eV per atom: 0.332

extended XYZ file:
```
4
Lattice="3.336 0.000 0.000 0.000 3.336 0.000 0.000 0.000 5.998" Properties=species:S:1:pos:R:3 pbc="T T T"
Li 0.000 0.000 0.000
Ta 0.000 0.000 3.000
Ta 1.668 1.668 1.633
Ag 1.668 1.668 4.727
```



[6]
Entry from Alexandria: a crystal of LiAgTe2 relaxed with PBEsol (SCAN).

Density, g cm⁻³: 6.8
SG: No. 25
Uncorrected formation energy, eV/atom: -0.3872

extended XYZ file:
```
4
Lattice="4.905 0.000 0.000 0.000 5.776 0.000 0.000 0.000 3.205" Properties=species:S:1:pos:R:3 pbc="T T T"
Li 0.000 0.000 0.000
Ag 2.452 2.888 1.611
Te 0.000 2.888 0.007
Te 2.452 0.000 1.608
```



[7]
Entry from Alexandria: a crystal of Pr5AgSn3 relaxed with PBEsol (SCAN).

Density, g cm⁻³: 7.0
SG: No. 193
ΔH_f (0 K), eV per atom: -0.761

extended XYZ file:
```
18
Lattice="9.652 0.000 0.000 -4.826 8.359 0.000 0.000 0.000 6.840" Properties=species:S:1:pos:R:3 pbc="T T T"
Pr -1.322 2.290 1.710
Pr -3.504 6.069 5.130
Pr 2.644 0.000 1.710
Pr 1.322 2.290 5.130
Pr 0.000 5.573 0.000
Pr 0.000 5.573 3.420
Pr 4.826 2.786 0.000
Pr 4.826 2.786 3.420
Pr 7.008 0.000 5.130
Pr 3.504 6.069 1.710
Ag 0.000 0.000 0.000
Ag 0.000 0.000 3.420
Sn -1.830 3.169 5.130
Sn -2.996 5.190 1.710
Sn 3.659 0.000 5.130
Sn 1.830 3.169 1.710
Sn 5.993 0.000 1.710
Sn 2.996 5.190 5.130
```



[8]
Entry from Alexandria: a crystal of Re2TcF relaxed with PBEsol (SCAN).

Density, g cm⁻³: 15.1
SG: No. 225
Uncorrected formation energy, eV/atom: 0.3896

extended XYZ file:
```
16
Lattice="5.998 0.000 0.000 0.000 5.998 0.000 0.000 0.000 5.998" Properties=species:S:1:pos:R:3 pbc="T T T"
Re 1.499 1.499 1.499
Re 1.499 1.499 4.498
Re 1.499 4.498 1.499
Re 1.499 4.498 4.498
Re 4.498 1.499 1.499
Re 4.498 1.499 4.498
Re 4.498 4.498 1.499
Re 4.498 4.498 4.498
Tc 0.000 0.000 0.000
Tc 0.000 2.999 2.999
Tc 2.999 0.000 2.999
Tc 2.999 2.999 0.000
F 0.000 0.000 2.999
F 0.000 2.999 0.000
F 2.999 0.000 0.000
F 2.999 2.999 2.999
```



[9]
Entry from Alexandria: a crystal of CaTa4Tc relaxed with PBEsol (SCAN).

Density, g cm⁻³: 12.5
SG: No. 216
ΔH_f (0 K), eV per atom: 0.547

extended XYZ file:
```
6
Lattice="0.000 3.851 3.851 3.851 0.000 3.851 3.851 3.851 0.000" Properties=species:S:1:pos:R:3 pbc="T T T"
Ca 0.000 0.000 0.000
Ta 2.888 2.888 2.888
Ta 4.813 4.813 2.888
Ta 4.813 2.888 4.813
Ta 2.888 4.813 4.813
Tc 5.776 5.776 5.776
```



[10]
Entry from Alexandria: a crystal of Tl3AsF6 relaxed with PBEsol (SCAN).

Density, g cm⁻³: 4.5
SG: No. 166
Uncorrected formation energy, eV/atom: -1.8074

extended XYZ file:
```
10
Lattice="5.449 3.146 2.864 -5.449 3.146 2.864 0.000 -6.292 2.864" Properties=species:S:1:pos:R:3 pbc="T T T"
Tl -2.725 -1.573 2.864
Tl -2.725 1.573 5.728
Tl 0.000 3.146 2.864
As 0.000 0.000 4.296
F 0.000 -1.746 3.182
F -1.512 0.873 3.182
F -1.512 -0.873 5.410
F 1.512 0.873 3.182
F 1.512 -0.873 5.410
F 0.000 1.746 5.410
```



[11]
Entry from Alexandria: a crystal of Li2FeHg relaxed with PBEsol (SCAN).

Density, g cm⁻³: 7.4
SG: No. 12
ΔH_f (0 K), eV per atom: 0.058

extended XYZ file:
```
8
Lattice="5.369 0.000 0.000 0.000 9.209 0.000 -1.148 0.000 2.470" Properties=species:S:1:pos:R:3 pbc="T T T"
Li 1.342 2.302 0.000
Li 1.342 6.906 0.000
Li 4.027 2.302 0.000
Li 4.027 6.906 0.000
Fe -0.574 0.000 1.235
Fe 2.111 4.604 1.235
Hg -0.574 4.604 1.235
Hg 2.111 0.000 1.235
```



[12]
Entry from Alexandria: a crystal of KReI2O relaxed with PBEsol (SCAN).

Density, g cm⁻³: 6.6
SG: No. 123
Uncorrected formation energy, eV/atom: -0.6162

extended XYZ file:
```
5
Lattice="5.709 0.000 0.000 0.000 5.709 0.000 0.000 0.000 3.794" Properties=species:S:1:pos:R:3 pbc="T T T"
K 0.000 0.000 0.000
Re 2.854 2.854 1.897
I 0.000 2.854 1.897
I 2.854 0.000 1.897
O 2.854 2.854 0.000
```